No. 1
{"formula": "P3SCl", "functional": "PBE", "state": "optimized geometry", "lattice_angstrom": [[4.612, 0.000, 0.000], [0.000, 4.612, 0.000], [0.000, 0.000, 4.612]], "species": ["P", "P", "P", "S", "Cl"], "fractional_positions": [[0.000, 0.000, 0.500], [0.000, 0.500, 0.000], [0.500, 0.000, 0.000], [0.000, 0.000, 0.000], [0.500, 0.500, 0.500]], "rho_g_cm3": 2.72, "volume_a3_per_atom": 19.622, "total_energy_ev_per_atom": -3.35, "formation_energy_uncorrected_mev_per_atom": 1094.9, "relative_energy_mev_per_atom": 0}

No. 2
{"formula": "Te5Au2I3", "functional": "PBE", "state": "optimized geometry", "lattice_angstrom": [[-4.653, 8.201, 4.091], [4.653, -8.201, 4.091], [4.653, 8.201, -4.091]], "species": ["Te", "Te", "Te", "Te", "Te", "Te", "Te", "Te", "Te", "Te", "Au", "Au", "Au", "Au", "I", "I", "I", "I", "I", "I"], "fractional_positions": [[0.007, 0.750, 0.257], [0.130, 0.116, 0.246], [0.250, 0.250, 0.000], [0.370, 0.616, 0.986], [0.493, 0.750, 0.743], [0.507, 0.250, 0.257], [0.630, 0.384, 0.014], [0.750, 0.750, 0.000], [0.870, 0.884, 0.754], [0.993, 0.250, 0.743], [0.131, 0.425, 0.556], [0.369, 0.925, 0.295], [0.631, 0.075, 0.705], [0.869, 0.575, 0.444], [0.131, 0.743, 0.874], [0.250, 0.750, 0.500], [0.369, 0.243, 0.611], [0.631, 0.757, 0.389], [0.750, 0.250, 0.500], [0.869, 0.257, 0.126]], "rho_g_cm3": 7.51, "volume_a3_per_atom": 31.221, "total_energy_ev_per_atom": -2.57, "formation_energy_uncorrected_mev_per_atom": 117.8}

No. 3
{"formula": "Ti3HPd", "functional": "PBE", "state": "optimized geometry", "lattice_angstrom": [[4.055, 0.000, 0.000], [0.000, 4.055, 0.000], [0.000, 0.000, 4.055]], "species": ["Ti", "Ti", "Ti", "H", "Pd"], "fractional_positions": [[0.000, 0.000, 0.500], [0.000, 0.500, 0.000], [0.500, 0.000, 0.000], [0.000, 0.000, 0.000], [0.500, 0.500, 0.500]], "rho_g_cm3": 6.25, "volume_a3_per_atom": 13.332, "total_energy_ev_per_atom": -6.78, "relative_energy_mev_per_atom": 0}

No. 4
{"formula": "RbGeO2", "functional": "PBE", "state": "optimized geometry", "lattice_angstrom": [[1.624, 0.938, 7.162], [-1.624, 0.938, 7.162], [0.000, -1.875, 7.162]], "species": ["Rb", "Ge", "O", "O"], "fractional_positions": [[0.000, 0.000, 0.000], [0.500, 0.500, 0.500], [0.121, 0.121, 0.121], [0.879, 0.879, 0.879]], "rho_g_cm3": 4.83, "volume_a3_per_atom": 16.355, "total_energy_ev_per_atom": -4.72, "formation_energy_uncorrected_mev_per_atom": -841.9}

No. 5
{"formula": "Nd4Ir2I", "functional": "PBE", "state": "optimized geometry", "lattice_angstrom": [[2.120, 1.224, 14.445], [-2.120, 1.224, 14.445], [0.000, -2.448, 14.445]], "species": ["Nd", "Nd", "Nd", "Nd", "Ir", "Ir", "I"], "fractional_positions": [[0.127, 0.127, 0.127], [0.274, 0.274, 0.274], [0.726, 0.726, 0.726], [0.873, 0.873, 0.873], [0.427, 0.427, 0.427], [0.573, 0.573, 0.573], [0.000, 0.000, 0.000]], "rho_g_cm3": 8.04, "volume_a3_per_atom": 32.123, "total_energy_ev_per_atom": -6.23, "formation_energy_uncorrected_mev_per_atom": -748.1}

No. 6
{"formula": "ScAgH8Ir2", "functional": "PBE", "state": "optimized geometry", "lattice_angstrom": [[4.280, -2.064, 0.000], [4.280, 2.064, 0.000], [-1.960, 0.000, 5.619]], "species": ["Sc", "Ag", "H", "H", "H", "H", "H", "H", "H", "H", "Ir", "Ir"], "fractional_positions": [[0.000, 0.000, 0.000], [0.500, 0.500, 0.500], [0.082, 0.571, 0.157], [0.216, 0.216, 0.376], [0.416, 0.416, 0.879], [0.429, 0.918, 0.843], [0.571, 0.082, 0.157], [0.584, 0.584, 0.121], [0.784, 0.784, 0.624], [0.918, 0.429, 0.843], [0.228, 0.228, 0.674], [0.772, 0.772, 0.326]], "rho_g_cm3": 9.12, "volume_a3_per_atom": 8.276, "total_energy_ev_per_atom": -4.51}

No. 7
{"formula": "MgGe2", "functional": "PBE", "state": "optimized geometry", "lattice_angstrom": [[0.000, 3.943, 3.943], [3.943, 0.000, 3.943], [3.943, 3.943, 0.000]], "species": ["Mg", "Mg", "Ge", "Ge", "Ge", "Ge"], "fractional_positions": [[0.125, 0.125, 0.125], [0.875, 0.875, 0.875], [0.000, 0.500, 0.500], [0.500, 0.000, 0.500], [0.500, 0.500, 0.000], [0.500, 0.500, 0.500]], "rho_g_cm3": 4.60, "formation_energy_mev_per_atom": 85, "volume_a3_per_atom": 20.427, "total_energy_ev_per_atom": -3.53, "relative_energy_mev_per_atom": 78}